(1)
DFT (PBE) results for crystalline K2CuOs at its relaxed geometry.

Lattice parameters (Å, degrees): 6.4772 6.4772 6.1994 72.55 72.55 23.84
Site moments in Bohr magnetons follow the coordinates.
Fractional positions:
K 0.7770 0.7770 0.6758  0.00
K 0.9760 0.9760 0.0701  0.00
Cu 0.1979 0.1979 0.2375  0.02
Os 0.5490 0.5490 0.5165  0.32

Computed properties:
Energy above the lowest structure with this stoichiometry ... 0.610 eV/f.u.
D(E_F) ... 4.1 states/eV per cell
Calculated volume ... 25.0 A^3/atom
Total magnetic moment ... 0.399 Bohr magnetons per cell
Formation energy from the elements ... 0.946 eV/atom

(2)
DFT (PBE) results for crystalline K4CuOs at its relaxed geometry.

Lattice parameters (Å, degrees): 6.7700 6.7700 6.7700 60.00 60.00 60.00
Site moments in Bohr magnetons follow the coordinates.
Fractional positions:
K 0.3757 0.3757 0.8729  -0.01
K 0.8729 0.3757 0.3757  -0.01
K 0.3757 0.8729 0.3757  -0.01
K 0.3757 0.3757 0.3757  -0.01
Cu 0.0000 0.0000 0.0000  0.02
Os 0.7500 0.7500 0.7500  2.12

Computed properties:
D(E_F) ... 5.3 states/eV per cell
Calculated volume ... 36.6 A^3/atom
Total magnetic moment ... 2.393 Bohr magnetons per cell
Formation energy from the elements ... 1.426 eV/atom

(3)
DFT (PBE) results for crystalline KCuOs2 at its relaxed geometry.

Lattice parameters (Å, degrees): 4.5201 4.5201 4.5201 60.00 60.00 60.00
Fractional positions:
K 0.2500 0.2500 0.2500
Cu 0.5000 0.5000 0.5000
Os 0.7500 0.7500 0.7500
Os 0.0000 0.0000 0.0000

Computed properties:
Energy above the lowest structure with this stoichiometry ... 2.892 eV/f.u.
D(E_F) ... 3.2 states/eV per cell
Calculated volume ... 16.3 A^3/atom
Total magnetic moment ... 0.000 Bohr magnetons per cell
Formation energy from the elements ... 1.419 eV/atom

(4)
DFT (PBE) results for crystalline K2CuOs at its relaxed geometry.

Lattice parameters (Å, degrees): 6.0649 6.0649 6.0649 141.56 141.56 55.50
Site moments in Bohr magnetons follow the coordinates.
Fractional positions:
K 0.0000 0.0000 0.0000  -0.01
K 0.5000 0.5000 0.0000  -0.01
Os 0.2500 0.7500 0.5000  0.63
Cu 0.7500 0.2500 0.5000  0.04

Computed properties:
Energy above the lowest structure with this stoichiometry ... 2.353 eV/f.u.
D(E_F) ... 4.5 states/eV per cell
Calculated volume ... 21.4 A^3/atom
Total magnetic moment ... 0.657 Bohr magnetons per cell
Formation energy from the elements ... 1.382 eV/atom

(5)
DFT (PBE) results for crystalline K2CuOs at its relaxed geometry.

Lattice parameters (Å, degrees): 5.4193 2.6872 6.7962 58.20 90.00 90.00
Fractional positions:
Os 0.5000 0.2500 0.2500
Cu 0.5000 0.7500 0.7500
K 0.0000 0.4464 0.5009
K 0.0000 0.0536 0.9991

Computed properties:
Energy above the lowest structure with this stoichiometry ... 1.570 eV/f.u.
D(E_F) ... 1.5 states/eV per cell
Calculated volume ... 21.0 A^3/atom
Total magnetic moment ... 0.000 Bohr magnetons per cell
Formation energy from the elements ... 1.186 eV/atom

(6)
DFT (PBE) results for crystalline K2CuOs at its relaxed geometry.

Lattice parameters (Å, degrees): 4.2481 2.7110 10.0362 81.32 90.00 90.00
Fractional positions:
Cu 0.5000 0.9861 0.6520
K 0.0000 0.8427 0.9037
K 0.5000 0.1558 0.3455
Os 0.0000 0.5154 0.5988

Computed properties:
Energy above the lowest structure with this stoichiometry ... 0.000 eV/f.u.
D(E_F) ... 4.1 states/eV per cell
Calculated volume ... 28.6 A^3/atom
Total magnetic moment ... 0.165 Bohr magnetons per cell
Formation energy from the elements ... 0.794 eV/atom